1.
Compound: NaSr2Ag2
Source: the Alexandria database
Functional: PBE-GGA
Structure: optimized geometry

## Properties
- crystal system = tetragonal
- relative energy among the computed polymorphs (eV/f.u.) = 0.000

Cell: 8.5691 8.5691 4.4064 Å, 90.00 90.00 90.00°
Space group P4/mbm (No. 127)
One atom of each set of equivalent atoms:
Na  0.0000  0.0000  0.0000 x2
Sr  0.1710  0.3290  0.5000 x4
Ag  0.1211  0.6211  0.0000 x4

2.
Compound: TbSm3Pb4
Source: the Alexandria database
Functional: PBE-GGA
Structure: optimized geometry

## Properties
- crystal system = orthorhombic

Cell: 11.2566 6.5004 6.5014 Å, 90.00 90.00 90.00°
Space group Pmn2_1 (No. 31)
One atom of each set of equivalent atoms:
Tb  0.0000  0.0007  0.0000 x2
Sm  0.0000  0.5000  0.5003 x2
Sm  0.2501  0.2500  0.2502 x4
Pb  0.0000  0.0001  0.5000 x2
Pb  0.0000  0.5005  0.0003 x2
Pb  0.2503  0.2496  0.7503 x4

no.,final energy (eV per atom),density of states at the Fermi level (states/eV per atom),energy of formation (eV per formula unit)
1,-2.3159,0.57,-1.2
2,-4.6785,0.68,-3.8